# 1
Density functional theory data (GGA-PBE) for a geometry-optimized NdDy6Er12 structure.

```
data_NdDy6Er12
_symmetry_space_group_name_H-M 'R -3 m'
_symmetry_Int_Tables_number 166
_symmetry_space_group_name_Hall '-R 3 2"'
_cell_length_a 15.0074
_cell_length_b 15.0074
_cell_length_c 9.8725
_cell_angle_alpha 90.00
_cell_angle_beta 90.00
_cell_angle_gamma 120.00
loop_
_atom_site_label
_atom_site_type_symbol
_atom_site_fract_x
_atom_site_fract_y
_atom_site_fract_z
_atom_site_occupancy
Nd1 Nd 0.0000 0.0000 0.0000 1
Dy1 Dy 0.0496 0.5248 0.2080 1
Er1 Er 0.0000 0.3901 0.5000 1
Er2 Er 0.0719 0.1437 0.2950 1
```

Values from the calculation:
DFT formation energy = 0.44 eV per atom
polymorph energy (0 for the lowest one) = 283 meV per atom

***

# 2
Density functional theory data (GGA-PBE) for a geometry-optimized MnSb2P structure.

```
data_MnSb2P
_symmetry_space_group_name_H-M 'P 1 21/m 1'
_symmetry_Int_Tables_number 11
_symmetry_space_group_name_Hall '-P 2yb'
_cell_length_a 6.326
_cell_length_b 3.225
_cell_length_c 17.863
_cell_angle_alpha 90.00
_cell_angle_beta 93.69
_cell_angle_gamma 90.00
loop_
_atom_site_label
_atom_site_type_symbol
_atom_site_fract_x
_atom_site_fract_y
_atom_site_fract_z
_atom_site_occupancy
Mn1 Mn 0.130 0.250 0.394 1
Mn2 Mn 0.213 0.750 0.192 1
Sb1 Sb 0.108 0.750 0.872 1
Sb2 Sb 0.215 0.750 0.517 1
Sb3 Sb 0.295 0.250 0.052 1
Sb4 Sb 0.448 0.750 0.333 1
P1 P 0.035 0.750 0.304 1
P2 P 0.470 0.250 0.188 1
```

Values from the calculation:
raw formation energy = 0.3 eV/f.u.

***

# 3
Density functional theory data (GGA-PBE) for a geometry-optimized ScHgIr3 structure.

```
data_ScHgIr3
_symmetry_space_group_name_H-M 'P m -3 m'
_symmetry_Int_Tables_number 221
_symmetry_space_group_name_Hall '-P 4 2 3'
_cell_length_a 4.714
_cell_length_b 4.714
_cell_length_c 4.714
_cell_angle_alpha 90.00
_cell_angle_beta 90.00
_cell_angle_gamma 90.00
loop_
_atom_site_label
_atom_site_type_symbol
_atom_site_fract_x
_atom_site_fract_y
_atom_site_fract_z
_atom_site_occupancy
Sc1 Sc 0.000 0.000 0.000 1
Hg1 Hg 0.500 0.500 0.500 1
Ir1 Ir 0.000 0.000 0.500 1
```

Values from the calculation:
DFT formation energy = 1.41 eV per atom
polymorph energy (0 for the lowest one) = 0 meV per atom

***

# 4
Density functional theory data (GGA-PBE) for a geometry-optimized Sr3MgAu3 structure.

```
data_Sr3MgAu3
_symmetry_space_group_name_H-M 'C 1 2/m 1'
_symmetry_Int_Tables_number 12
_symmetry_space_group_name_Hall '-C 2y'
_cell_length_a 12.210
_cell_length_b 4.520
_cell_length_c 15.750
_cell_angle_alpha 90.00
_cell_angle_beta 110.47
_cell_angle_gamma 90.00
loop_
_atom_site_label
_atom_site_type_symbol
_atom_site_fract_x
_atom_site_fract_y
_atom_site_fract_z
_atom_site_occupancy
Sr1 Sr 0.014 0.000 0.379 1
Sr2 Sr 0.103 0.000 0.922 1
Sr3 Sr 0.238 0.000 0.228 1
Mg1 Mg 0.236 0.500 0.412 1
Au1 Au 0.041 0.500 0.240 1
Au2 Au 0.114 0.500 0.076 1
Au3 Au 0.129 0.500 0.545 1
```

Values from the calculation:
DFT formation energy = -0.69 eV per atom

***

# 5
Density functional theory data (GGA-PBE) for a geometry-optimized CuGe2Br2 structure.

```
data_CuGe2Br2
_symmetry_space_group_name_H-M 'P 4/m b m'
_symmetry_Int_Tables_number 127
_symmetry_space_group_name_Hall '-P 4 2ab'
_cell_length_a 8.420
_cell_length_b 8.420
_cell_length_c 3.399
_cell_angle_alpha 90.00
_cell_angle_beta 90.00
_cell_angle_gamma 90.00
loop_
_atom_site_label
_atom_site_type_symbol
_atom_site_fract_x
_atom_site_fract_y
_atom_site_fract_z
_atom_site_occupancy
Cu1 Cu 0.000 0.000 0.000 1
Ge1 Ge 0.195 0.305 0.500 1
Br1 Br 0.132 0.632 0.000 1
```

Values from the calculation:
raw formation energy = 2.6 eV/f.u.
polymorph energy (0 for the lowest one) = 268 meV per atom

***

# 6
Density functional theory data (GGA-PBE) for a geometry-optimized La3TmPa3N8 structure.

```
data_La3TmPa3N8
_symmetry_space_group_name_H-M 'R -3 m'
_symmetry_Int_Tables_number 166
_symmetry_space_group_name_Hall '-R 3 2"'
_cell_length_a 7.0657
_cell_length_b 7.0657
_cell_length_c 17.8646
_cell_angle_alpha 90.00
_cell_angle_beta 90.00
_cell_angle_gamma 120.00
loop_
_atom_site_label
_atom_site_type_symbol
_atom_site_fract_x
_atom_site_fract_y
_atom_site_fract_z
_atom_site_occupancy
La1 La 0.0000 0.5000 0.0000 1
Tm1 Tm 0.0000 0.0000 0.5000 1
Pa1 Pa 0.0000 0.5000 0.5000 1
N1 N 0.0000 0.0000 0.2369 1
N2 N 0.0015 0.5008 0.7684 1
```

Values from the calculation:
raw formation energy = -22.1 eV/f.u.

***

# 7
Density functional theory data (GGA-PBE) for a geometry-optimized LiAcZnGa structure.

```
data_LiAcZnGa
_symmetry_space_group_name_H-M 'C 1 m 1'
_symmetry_Int_Tables_number 8
_symmetry_space_group_name_Hall 'C -2y'
_cell_length_a 7.752
_cell_length_b 4.476
_cell_length_c 6.076
_cell_angle_alpha 90.00
_cell_angle_beta 115.00
_cell_angle_gamma 90.00
loop_
_atom_site_label
_atom_site_type_symbol
_atom_site_fract_x
_atom_site_fract_y
_atom_site_fract_z
_atom_site_occupancy
Li1 Li 0.000 0.000 0.000 1
Ac1 Ac 0.000 0.500 0.500 1
Zn1 Zn 0.301 0.000 0.903 1
Ga1 Ga 0.204 0.500 0.111 1
```

Values from the calculation:
DFT formation energy = -0.31 eV per atom
polymorph energy (0 for the lowest one) = 0 meV per atom

***

# 8
Density functional theory data (GGA-PBE) for a geometry-optimized TaCdAu2 structure.

```
data_TaCdAu2
_symmetry_space_group_name_H-M 'P m m m'
_symmetry_Int_Tables_number 47
_symmetry_space_group_name_Hall '-P 2 2'
_cell_length_a 2.863
_cell_length_b 5.039
_cell_length_c 5.236
_cell_angle_alpha 90.00
_cell_angle_beta 90.00
_cell_angle_gamma 90.00
loop_
_atom_site_label
_atom_site_type_symbol
_atom_site_fract_x
_atom_site_fract_y
_atom_site_fract_z
_atom_site_occupancy
Ta1 Ta 0.000 0.000 0.000 1
Cd1 Cd 0.500 0.000 0.500 1
Au1 Au 0.000 0.500 0.500 1
Au2 Au 0.500 0.500 0.000 1
```

Values from the calculation:
DFT formation energy = 0.25 eV per atom

***

# 9
Density functional theory data (GGA-PBE) for a geometry-optimized B2N structure.

```
data_B2N
_symmetry_space_group_name_H-M 'P 1'
_symmetry_Int_Tables_number 1
_symmetry_space_group_name_Hall 'P 1'
_cell_length_a 3.205
_cell_length_b 3.866
_cell_length_c 3.876
_cell_angle_alpha 72.15
_cell_angle_beta 78.85
_cell_angle_gamma 77.15
loop_
_atom_site_label
_atom_site_type_symbol
_atom_site_fract_x
_atom_site_fract_y
_atom_site_fract_z
_atom_site_occupancy
B1 B 0.000 0.000 0.000 1
B2 B 0.081 0.728 0.422 1
B3 B 0.390 0.313 0.369 1
B4 B 0.593 0.600 0.656 1
N1 N 0.251 0.958 0.637 1
N2 N 0.629 0.297 0.010 1
```

Values from the calculation:
raw formation energy = -1.0 eV/f.u.
polymorph energy (0 for the lowest one) = 267 meV per atom

***

# 10
Density functional theory data (GGA-PBE) for a geometry-optimized Sr2Al4CuPd3 structure.

```
data_Sr2Al4CuPd3
_symmetry_space_group_name_H-M 'P -4 m 2'
_symmetry_Int_Tables_number 115
_symmetry_space_group_name_Hall 'P -4 -2'
_cell_length_a 4.474
_cell_length_b 4.474
_cell_length_c 10.138
_cell_angle_alpha 90.00
_cell_angle_beta 90.00
_cell_angle_gamma 90.00
loop_
_atom_site_label
_atom_site_type_symbol
_atom_site_fract_x
_atom_site_fract_y
_atom_site_fract_z
_atom_site_occupancy
Sr1 Sr 0.000 0.500 0.242 1
Al1 Al 0.000 0.000 0.500 1
Al2 Al 0.000 0.500 0.884 1
Al3 Al 0.500 0.500 0.500 1
Cu1 Cu 0.500 0.500 0.000 1
Pd1 Pd 0.000 0.000 0.000 1
Pd2 Pd 0.000 0.500 0.628 1
```

Values from the calculation:
DFT formation energy = -0.63 eV per atom

***

# 11
Density functional theory data (GGA-PBE) for a geometry-optimized Ta2BeP structure.

```
data_Ta2BeP
_symmetry_space_group_name_H-M 'I m m 2'
_symmetry_Int_Tables_number 44
_symmetry_space_group_name_Hall 'I 2 -2'
_cell_length_a 3.227
_cell_length_b 4.169
_cell_length_c 8.592
_cell_angle_alpha 90.00
_cell_angle_beta 90.00
_cell_angle_gamma 90.00
loop_
_atom_site_label
_atom_site_type_symbol
_atom_site_fract_x
_atom_site_fract_y
_atom_site_fract_z
_atom_site_occupancy
Ta1 Ta 0.000 0.000 0.000 1
Ta2 Ta 0.000 0.500 0.227 1
Be1 Be 0.000 0.500 0.773 1
P1 P 0.000 0.000 0.480 1
```

Values from the calculation:
DFT formation energy = -0.09 eV per atom
polymorph energy (0 for the lowest one) = 563 meV per atom

***

# 12
Density functional theory data (GGA-PBE) for a geometry-optimized TmLuZnOs structure.

```
data_TmLuZnOs
_symmetry_space_group_name_H-M 'F -4 3 m'
_symmetry_Int_Tables_number 216
_symmetry_space_group_name_Hall 'F -4 2 3'
_cell_length_a 6.819
_cell_length_b 6.819
_cell_length_c 6.819
_cell_angle_alpha 90.00
_cell_angle_beta 90.00
_cell_angle_gamma 90.00
loop_
_atom_site_label
_atom_site_type_symbol
_atom_site_fract_x
_atom_site_fract_y
_atom_site_fract_z
_atom_site_occupancy
Tm1 Tm 0.000 0.000 0.000 1
Lu1 Lu 0.000 0.000 0.500 1
Zn1 Zn 0.250 0.250 0.750 1
Os1 Os 0.250 0.250 0.250 1
```

Values from the calculation:
DFT formation energy = -0.35 eV per atom